Compound: RbCaMo2
Source: Alexandria
Functional: GGA-PBE
Structure: optimized geometry

Computed properties:
The formation energy is 2.010 eV/atom. The value obtained for the magnetization is 1.173 μB per atom. The polymorph energy (0 for the lowest one) comes out at 0.000 eV/atom.

abc: 8.9031 8.9031 6.8735
angles: 49.64 49.64 90.00
Closest atoms and distances in Å follow each position.
Fractional coordinates of all 8 atoms:
Rb1 0.7500 0.2500 0.5000  2 Ca 2.76
Mo1 0.8750 0.8628 0.7500  2 Mo 2.77
Mo2 0.1372 0.6250 0.2500  2 Mo 2.77
Mo3 0.6128 0.1250 0.2500  2 Mo 2.77
Mo4 0.3750 0.3872 0.7500  2 Mo 2.77
Ca1 0.5000 0.5000 0.0000  2 Rb 2.76
Rb2 0.0000 0.0000 0.0000  2 Ca 2.76
Ca2 0.2500 0.7500 0.5000  2 Rb 2.76


Compound: RbSr2CaMo
Source: Alexandria
Functional: GGA-PBE
Structure: optimized geometry

Computed properties:
The formation energy is 1.460 eV/atom. The value obtained for the magnetization is 0.284 μB per atom.

abc: 6.2764 5.2753 6.2764
angles: 90.00 90.00 90.00
Closest atoms and distances in Å follow each position.
Fractional coordinates of all 5 atoms:
Sr1 0.5000 0.0000 0.0000  2 Rb 3.14
Sr2 0.0000 0.0000 0.5000  2 Rb 3.14
Ca1 0.5000 0.5000 0.5000  8 Sr 4.10, 4 Mo 4.44
Rb1 0.0000 0.0000 0.0000  2 Mo 2.64
Mo1 0.0000 0.5000 0.0000  2 Rb 2.64


Compound: RbCa2TcMo
Source: Alexandria
Functional: GGA-PBE
Structure: optimized geometry

Computed properties:
The formation energy is 1.652 eV/atom. The value obtained for the magnetization is 0.728 μB per atom.

abc: 5.5022 6.0702 5.5022
angles: 90.00 90.00 90.00
Closest atoms and distances in Å follow each position.
Fractional coordinates of all 5 atoms:
Mo1 0.5000 0.5000 0.5000  4 Rb 3.89, 8 Ca 4.10
Ca1 0.0000 0.0000 0.5000  2 Tc 2.75
Ca2 0.5000 0.0000 0.0000  2 Tc 2.75
Tc1 0.0000 0.0000 0.0000  4 Ca 2.75, 2 Rb 3.04
Rb1 0.0000 0.5000 0.0000  2 Tc 3.04


Compound: Rb2CaTiMo
Source: Alexandria
Functional: GGA-PBE
Structure: optimized geometry

Computed properties:
The formation energy is 1.237 eV/atom. The value obtained for the magnetization is 0.000 μB per atom. The polymorph energy (0 for the lowest one) comes out at 0.000 eV/atom.

abc: 6.7966 4.5399 6.7966
angles: 90.00 90.00 90.00
Closest atoms and distances in Å follow each position.
Fractional coordinates of all 5 atoms:
Ti1 0.0000 0.5000 0.0000  2 Mo 2.27
Ca1 0.5000 0.5000 0.5000  8 Rb 4.09, 2 Ca 4.54
Rb1 0.0000 0.0000 0.5000  2 Mo 3.40
Mo1 0.0000 0.0000 0.0000  2 Ti 2.27
Rb2 0.5000 0.0000 0.0000  2 Mo 3.40


Compound: CaReMo2
Source: Alexandria
Functional: GGA-PBE
Structure: optimized geometry

Computed properties:
The formation energy is 0.585 eV/atom. The value obtained for the magnetization is 0.000 μB per atom. The polymorph energy (0 for the lowest one) comes out at 0.111 eV/atom.

abc: 5.5024 5.5024 5.5024
angles: 146.82 127.69 63.36
Closest atoms and distances in Å follow each position.
Fractional coordinates of all 4 atoms:
Mo1 0.5235 0.5235 0.0000  2 Re 2.64, 4 Mo 2.92
Mo2 0.9765 0.9765 0.0000  2 Re 2.64, 4 Mo 2.92
Ca1 0.2500 0.7500 0.5000  4 Re 2.89, 8 Mo 3.00-3.22, 2 Ca 3.14
Re1 0.7500 0.2500 0.5000  4 Mo 2.64, 4 Ca 2.89


Compound: CaReMo2
Source: Alexandria
Functional: GGA-PBE
Structure: optimized geometry

Computed properties:
The formation energy is 0.507 eV/atom. The value obtained for the magnetization is 0.000 μB per atom. The polymorph energy (0 for the lowest one) comes out at 0.034 eV/atom.

abc: 3.1672 3.1672 7.5017
angles: 90.00 90.00 90.00
Closest atoms and distances in Å follow each position.
Fractional coordinates of all 4 atoms:
Re1 0.0000 0.0000 0.4460  5 Mo 2.65-2.93
Mo1 0.5000 0.5000 0.2571  4 Re 2.65, 4 Mo 2.70
Mo2 0.0000 0.0000 0.0554  4 Mo 2.70, 1 Re 2.93
Ca1 0.5000 0.5000 0.7416  4 Re 3.15, 4 Ca 3.17, 4 Mo 3.25


Compound: CaReMo2
Source: Alexandria
Functional: GGA-PBE
Structure: optimized geometry

Computed properties:
The formation energy is 1.287 eV/atom. The value obtained for the magnetization is 0.000 μB per atom. The polymorph energy (0 for the lowest one) comes out at 0.813 eV/atom.

abc: 4.3226 4.3226 9.6960
angles: 77.12 77.12 90.00
Closest atoms and distances in Å follow each position.
Fractional coordinates of all 8 atoms:
Mo1 0.3750 0.2731 0.7500  2 Mo 2.51, 2 Re 2.62
Mo2 0.0231 0.6250 0.2500  2 Mo 2.51, 2 Re 2.62
Mo3 0.8750 0.9769 0.7500  2 Mo 2.51, 2 Re 2.62
Re1 0.0000 0.0000 0.0000  4 Mo 2.62
Ca1 0.2500 0.7500 0.5000  4 Mo 2.96, 4 Re 3.06
Re2 0.7500 0.2500 0.5000  4 Mo 2.62
Mo4 0.7269 0.1250 0.2500  2 Mo 2.51, 2 Re 2.62
Ca2 0.5000 0.5000 0.0000  4 Mo 2.96, 4 Re 3.06


Compound: CaRe3Mo
Source: Alexandria
Functional: GGA-PBE
Structure: optimized geometry

Computed properties:
The formation energy is 3.177 eV/atom. The value obtained for the magnetization is 0.001 μB per atom. The polymorph energy (0 for the lowest one) comes out at 1.529 eV/atom.

abc: 4.5016 4.5016 4.5016
angles: 90.00 90.00 90.00
Closest atoms and distances in Å follow each position.
Fractional coordinates of all 5 atoms:
Mo1 0.5000 0.5000 0.5000  12 Re 3.18
Re1 0.5000 0.0000 0.0000  2 Ca 2.25
Ca1 0.0000 0.0000 0.0000  6 Re 2.25
Re2 0.0000 0.0000 0.5000  2 Ca 2.25
Re3 0.0000 0.5000 0.0000  2 Ca 2.25


- Which value of magnetization does entry 2 give?
  0.284 μB per atom